DyZnCuNi after structural relaxation, computed with GGA-PBE.

Cell lengths 4.2177, 4.2108, 5.0774 Å; angles 114.63, 90.00, 120.05 degrees
Closest atoms and distances in Å follow each position.
Positions (direct):
Ni (0.4131, 0.8261, 0.8805)  3 Zn 2.47, 3 Cu 2.64-2.65, 1 Dy 2.74
Cu (0.8249, 0.6497, 0.1171)  3 Zn 2.52, 3 Ni 2.64-2.65, 1 Dy 2.76
Zn (0.1101, 0.2202, 0.9724)  3 Ni 2.47, 3 Cu 2.52
Dy (0.6183, 0.2365, 0.4973)  4 Ni 2.74-2.97, 4 Cu 2.76-2.97

Properties
density of states at the Fermi level = 0.569 states/eV/atom
DFT formation energy = -0.323 eV per atom

Dy2TiAlPt6 after structural relaxation, computed with GGA-PBE.

Cell lengths 5.6034, 8.3700, 8.3723 Å; angles 39.11, 70.45, 90.00 degrees
Closest atoms and distances in Å follow each position.
Positions (direct):
Pt (0.7536, 0.7503, 0.4929)  1 Al 2.47, 1 Ti 2.57
Pt (0.2463, 0.7527, 0.0042)  1 Al 2.47, 1 Ti 2.57
Dy (0.2957, 0.7048, 0.4087)  9 Pt 2.97-3.20
Pt (0.7537, 0.2473, 0.9958)  1 Al 2.47, 1 Ti 2.57
Pt (0.2464, 0.2497, 0.5071)  1 Al 2.47, 1 Ti 2.57
Pt (0.2507, 0.2472, 0.9957)  1 Al 2.47, 1 Ti 2.56
Al (0.0000, 0.0000, 0.0000)  6 Pt 2.47
Pt (0.7493, 0.7528, 0.0043)  1 Al 2.47, 1 Ti 2.56
Ti (0.5000, 0.5000, 0.0000)  6 Pt 2.56-2.57
Dy (0.7043, 0.2952, 0.5913)  9 Pt 2.97-3.20

Properties
density of states at the Fermi level = 0.306 states/eV/atom
DFT formation energy = -0.882 eV per atom

CsRbSnCl6 after structural relaxation, computed with GGA-PBE.

Cell lengths 7.8292, 7.8294, 6.9694 Å; angles 90.00, 90.00, 60.00 degrees
Closest atoms and distances in Å follow each position.
Positions (direct):
Cs (0.0000, 0.0000, 0.0000)  6 Cl 3.59
Sn (0.3333, 0.3333, 0.5000)  6 Cl 2.48
Rb (0.6666, 0.6667, 0.5000)  6 Cl 3.28
Cl (0.3331, 0.0751, 0.7066)  1 Sn 2.48
Cl (0.5918, 0.3332, 0.7066)  1 Sn 2.48
Cl (0.5918, 0.0751, 0.2934)  1 Sn 2.48
Cl (0.0750, 0.5918, 0.7065)  1 Sn 2.48
Cl (0.3331, 0.5918, 0.2934)  1 Sn 2.48
Cl (0.0751, 0.3331, 0.2934)  1 Sn 2.48

Properties
density of states at the Fermi level = 0.000 states/eV/atom
formation energy without anion corrections = -13.0 eV per formula unit

ReAgAu after structural relaxation, computed with GGA-PBE.

Cell lengths 6.9647, 6.9647, 6.9647 Å; angles 157.38, 157.38, 32.21 degrees
Closest atoms and distances in Å follow each position.
Positions (direct):
Re (0.6680, 0.6680, 0.0000)  4 Re 2.73, 4 Au 2.89, 4 Ag 2.93
Ag (0.0032, 0.0032, 0.0000)  4 Ag 2.73, 4 Re 2.93, 4 Au 3.03
Au (0.3287, 0.3287, 0.0000)  4 Au 2.73, 4 Re 2.89, 4 Ag 3.03

Properties
density of states at the Fermi level = 0.720 states/eV/atom
DFT formation energy = 0.514 eV per atom

SrSc4In5 after structural relaxation, computed with GGA-PBE.

Cell lengths 3.6530, 3.6529, 18.3431 Å; angles 90.00, 90.00, 90.00 degrees
Closest atoms and distances in Å follow each position.
Positions (direct):
In (0.5000, 0.5000, 0.3139)  8 Sc 3.10, 2 In 3.41-3.43
Sr (0.0000, 0.0000, 0.0000)  8 In 3.48, 4 Sr 3.65
In (0.5000, 0.5000, 0.5000)  8 Sc 3.09, 2 In 3.41
In (0.5000, 0.5000, 0.1268)  4 Sc 3.10, 1 In 3.43
Sc (0.0000, 0.0000, 0.5928)  8 In 3.09-3.10, 2 Sc 3.41-3.43
Sc (0.0000, 0.0000, 0.7798)  8 In 3.10, 1 Sc 3.43
In (0.5000, 0.5000, 0.6861)  8 Sc 3.10, 2 In 3.41-3.43
Sc (0.0000, 0.0000, 0.4072)  8 In 3.09-3.10, 2 Sc 3.41-3.43
Sc (0.0000, 0.0000, 0.2202)  8 In 3.10, 1 Sc 3.43
In (0.5000, 0.5000, 0.8732)  4 Sc 3.10, 1 In 3.43

Properties
density of states at the Fermi level = 0.630 states/eV/atom
DFT formation energy = -0.404 eV per atom

MnAlMoAu after structural relaxation, computed with GGA-PBE.

Cell lengths 4.4027, 4.4027, 4.4027 Å; angles 60.00, 60.00, 60.00 degrees
Closest atoms and distances in Å follow each position.
Positions (direct):
Au (0.7500, 0.7500, 0.7500)  4 Mn 2.70, 4 Al 2.70
Mo (0.2500, 0.2500, 0.2500)  4 Mn 2.70, 4 Al 2.70
Mn (0.5000, 0.5000, 0.5000)  4 Mo 2.70, 4 Au 2.70
Al (0.0000, 0.0000, 0.0000)  4 Mo 2.70, 4 Au 2.70

Properties
density of states at the Fermi level = 0.744 states/eV/atom
DFT formation energy = -0.039 eV per atom